Entry from Alexandria via LeMat-Bulk: Rb2CrPbS4 after structural relaxation (PBE).

Structure (CIF):
```
data_Rb2CrPbS4
_space_group_name_H-M_alt 'F d d d'
_space_group_IT_number 70
_cell_length_a 6.8060
_cell_length_b 13.5506
_cell_length_c 24.4953
_cell_angle_alpha 90.00
_cell_angle_beta 90.00
_cell_angle_gamma 90.00
loop_
_space_group_symop_operation_xyz
'x,y,z'
'-x,-y,-z'
'-x+1/4,-y+1/4,z'
'x+1/4,y+1/4,-z'
'x,-y+1/4,-z+1/4'
'-x,y+1/4,z+1/4'
'-x+1/4,y,-z+1/4'
'x+1/4,-y,z+1/4'
'x,y+1/2,z+1/2'
'-x,-y+1/2,-z+1/2'
'-x+1/4,-y+3/4,z+1/2'
'x+1/4,y+3/4,-z+1/2'
'x,-y+3/4,-z+3/4'
'-x,y+3/4,z+3/4'
'-x+1/4,y+1/2,-z+3/4'
'x+1/4,-y+1/2,z+3/4'
'x+1/2,y,z+1/2'
'-x+1/2,-y,-z+1/2'
'-x+3/4,-y+1/4,z+1/2'
'x+3/4,y+1/4,-z+1/2'
'x+1/2,-y+1/4,-z+3/4'
'-x+1/2,y+1/4,z+3/4'
'-x+3/4,y,-z+3/4'
'x+3/4,-y,z+3/4'
'x+1/2,y+1/2,z'
'-x+1/2,-y+1/2,-z'
'-x+3/4,-y+3/4,z'
'x+3/4,y+3/4,-z'
'x+1/2,-y+3/4,-z+1/4'
'-x+1/2,y+3/4,z+1/4'
'-x+3/4,y+1/2,-z+1/4'
'x+3/4,-y+1/2,z+1/4'
loop_
_atom_site_label
_atom_site_type_symbol
_atom_site_fract_x
_atom_site_fract_y
_atom_site_fract_z
_atom_site_occupancy
Rb1 Rb 0.1250 0.1250 0.3098 1
Cr1 Cr 0.1250 0.1250 0.6250 1
Pb1 Pb 0.1250 0.1250 0.1250 1
S1 S 0.0644 0.2792 0.8248 1
```

**E**: -4.6744 eV/atom
**Theoretical density**: 3.3 g/cm³
**Energy relative to the elements, uncorrected**: -5.6 eV/f.u.
**V**: 2259 Å³/cell

***

Entry from Alexandria via LeMat-Bulk: RbScCrPb2 after structural relaxation (PBE).

Structure (CIF):
```
data_RbScCrPb2
_space_group_name_H-M_alt 'P 4/m m m'
_space_group_IT_number 123
_space_group_name_Hall '-P 4 2'
_cell_length_a 5.2925
_cell_length_b 5.2925
_cell_length_c 5.3557
_cell_angle_alpha 90.00
_cell_angle_beta 90.00
_cell_angle_gamma 90.00
loop_
_atom_site_label
_atom_site_type_symbol
_atom_site_fract_x
_atom_site_fract_y
_atom_site_fract_z
_atom_site_occupancy
Rb1 Rb 0.0000 0.0000 0.0000 1
Sc1 Sc 0.5000 0.5000 0.0000 1
Cr1 Cr 0.0000 0.0000 0.5000 1
Pb1 Pb 0.0000 0.5000 0.5000 1
```

**E**: -3.8953 eV/atom
**Theoretical density**: 6.6 g/cm³
**DFT formation energy**: 4.863 eV per formula unit
**V**: 150 Å³/cell

***

Entry from Alexandria via LeMat-Bulk: RbCr2SiPb after structural relaxation (PBE).

Structure (CIF):
```
data_RbCr2SiPb
_space_group_name_H-M_alt 'P 4/m m m'
_space_group_IT_number 123
_space_group_name_Hall '-P 4 2'
_cell_length_a 5.3188
_cell_length_b 5.3188
_cell_length_c 6.5331
_cell_angle_alpha 90.00
_cell_angle_beta 90.00
_cell_angle_gamma 90.00
loop_
_atom_site_label
_atom_site_type_symbol
_atom_site_fract_x
_atom_site_fract_y
_atom_site_fract_z
_atom_site_occupancy
Rb1 Rb 0.0000 0.0000 0.0000 1
Cr1 Cr 0.0000 0.5000 0.5000 1
Si1 Si 0.5000 0.5000 0.0000 1
Pb1 Pb 0.0000 0.0000 0.5000 1
```

**E**: -4.3563 eV/atom
**Theoretical density**: 3.8 g/cm³
**Energy relative to the elements, uncorrected**: 7.6 eV/f.u.
**V**: 185 Å³/cell

***

Entry from Alexandria via LeMat-Bulk: Rb2VCrPb after structural relaxation (PBE).

Structure (CIF):
```
data_Rb2VCrPb
_space_group_name_H-M_alt 'P 4/m m m'
_space_group_IT_number 123
_space_group_name_Hall '-P 4 2'
_cell_length_a 6.8714
_cell_length_b 6.8714
_cell_length_c 5.3643
_cell_angle_alpha 90.00
_cell_angle_beta 90.00
_cell_angle_gamma 90.00
loop_
_atom_site_label
_atom_site_type_symbol
_atom_site_fract_x
_atom_site_fract_y
_atom_site_fract_z
_atom_site_occupancy
Rb1 Rb 0.0000 0.5000 0.0000 1
V1 V 0.0000 0.0000 0.5000 1
Cr1 Cr 0.5000 0.5000 0.5000 1
Pb1 Pb 0.0000 0.0000 0.0000 1
```

**E**: -3.6513 eV/atom
**Energy above the lowest structure with this stoichiometry**: 40.4 meV/atom
**Theoretical density**: 3.2 g/cm³
**DFT formation energy**: 6.129 eV per formula unit
**V**: 253 Å³/cell

***

Entry from Alexandria via LeMat-Bulk: Rb2VCrPb after structural relaxation (PBE).

Structure (CIF):
```
data_Rb2VCrPb
_space_group_name_H-M_alt 'P 4/m m m'
_space_group_IT_number 123
_space_group_name_Hall '-P 4 2'
_cell_length_a 6.5795
_cell_length_b 6.5795
_cell_length_c 5.3970
_cell_angle_alpha 90.00
_cell_angle_beta 90.00
_cell_angle_gamma 90.00
loop_
_atom_site_label
_atom_site_type_symbol
_atom_site_fract_x
_atom_site_fract_y
_atom_site_fract_z
_atom_site_occupancy
Rb1 Rb 0.0000 0.5000 0.0000 1
V1 V 0.0000 0.0000 0.0000 1
Cr1 Cr 0.5000 0.5000 0.5000 1
Pb1 Pb 0.0000 0.0000 0.5000 1
```

**E**: -3.6917 eV/atom
**Energy above the lowest structure with this stoichiometry**: 0.0 meV/atom
**Theoretical density**: 3.4 g/cm³
**DFT formation energy**: 5.927 eV per formula unit
**V**: 234 Å³/cell

***

Entry from Alexandria via LeMat-Bulk: CrRePb after structural relaxation (PBE).

Structure (CIF):
```
data_CrRePb
_space_group_name_H-M_alt 'I 4 m m'
_space_group_IT_number 107
_space_group_name_Hall 'I 4 -2'
_cell_length_a 3.0358
_cell_length_b 3.0358
_cell_length_c 11.7017
_cell_angle_alpha 90.00
_cell_angle_beta 90.00
_cell_angle_gamma 90.00
loop_
_atom_site_label
_atom_site_type_symbol
_atom_site_fract_x
_atom_site_fract_y
_atom_site_fract_z
_atom_site_occupancy
Cr1 Cr 0.0000 0.0000 0.0000 1
Re1 Re 0.0000 0.0000 0.3919 1
Pb1 Pb 0.0000 0.0000 0.6939 1
```

**E**: -7.9368 eV/atom
**Energy above the lowest structure with this stoichiometry**: 0.0 meV/atom
**Theoretical density**: 13.7 g/cm³
**DFT formation energy**: 1.969 eV per formula unit
**V**: 108 Å³/cell

***

Which value of E does entry 2 give?
-3.8953 eV/atom

***

Which formula does entry 1 have?
Rb2CrPbS4